## Ho2AlZn (meta-GGA SCAN)

Data for a PBEsol-optimized structure of Ho2AlZn.

Summary:
Energy relative to the elements ... -1.67 eV/f.u.

Cell: 7.0382 7.0382 7.0382 Å, 90.00 90.00 90.00°
With the nearest neighbours (Å) after each atom.
Sites, in units of the cell vectors:
Ho (0.2500, 0.2500, 0.2500)  4 Zn 3.05, 4 Al 3.05
Ho (0.2500, 0.2500, 0.7500)  4 Al 3.05, 4 Zn 3.05
Ho (0.2500, 0.7500, 0.2500)  4 Al 3.05, 4 Zn 3.05
Ho (0.2500, 0.7500, 0.7500)  4 Al 3.05, 4 Zn 3.05
Ho (0.7500, 0.2500, 0.2500)  4 Al 3.05, 4 Zn 3.05
Ho (0.7500, 0.2500, 0.7500)  4 Al 3.05, 4 Zn 3.05
Ho (0.7500, 0.7500, 0.2500)  4 Al 3.05, 4 Zn 3.05
Ho (0.7500, 0.7500, 0.7500)  4 Al 3.05, 4 Zn 3.05
Al (0.0000, 0.0000, 0.0000)  8 Ho 3.05
Al (0.0000, 0.5000, 0.5000)  8 Ho 3.05
Al (0.5000, 0.0000, 0.5000)  8 Ho 3.05
Al (0.5000, 0.5000, 0.0000)  8 Ho 3.05
Zn (0.0000, 0.0000, 0.5000)  8 Ho 3.05
Zn (0.0000, 0.5000, 0.0000)  8 Ho 3.05
Zn (0.5000, 0.0000, 0.0000)  8 Ho 3.05
Zn (0.5000, 0.5000, 0.5000)  8 Ho 3.05